The following is a PBE calculation of CdBSbTe2 after structural relaxation, from Alexandria.

Computed properties:
Magnetic moment: 0.0 Bohr magnetons per cell
Crystal system: tetragonal
Energy relative to the lowest polymorph listed for this composition: 851 meV per atom
Uncorrected formation energy: 1491 meV/atom
E: -2.11 eV per atom
Symmetry: P4/mmm

abc: 5.661 5.661 5.413
angles: 90.00 90.00 90.00
Fractional positions:
Cd (0.000, 0.000, 0.000)
B (0.500, 0.500, 0.500)
Sb (0.000, 0.000, 0.500)
Te (0.000, 0.500, 0.000)
Te (0.500, 0.000, 0.000)